First-principles (PBE with a Hubbard U) data for a relaxed V2CuH14C2N2O4F8 crystal, as listed in Alexandria via LeMat-Bulk.

Final energy ... -5.394 eV per atom
Size of the total moment ... 3.0 Bohr magnetons per cell
SG ... P-1 (2)

Structure (CIF):
```
data_V2CuH14C2N2O4F8
_cell_length_a 6.817
_cell_length_b 6.996
_cell_length_c 7.512
_cell_angle_alpha 81.22
_cell_angle_beta 66.90
_cell_angle_gamma 70.63
_space_group_name_H-M_alt 'P 1'
_space_group_IT_number 1
loop_
_space_group_symop_operation_xyz
'x,y,z'
loop_
_atom_site_label
_atom_site_type_symbol
_atom_site_fract_x
_atom_site_fract_y
_atom_site_fract_z
V1 V 0.047 0.157 0.301
V2 V 0.953 0.843 0.699
Cu1 Cu 0.500 0.000 0.500
H1 H 0.188 0.322 0.674
H2 H 0.253 0.160 0.832
H3 H 0.257 0.485 0.310
H4 H 0.338 0.718 0.041
H5 H 0.364 0.649 0.352
H6 H 0.379 0.360 0.976
H7 H 0.472 0.591 0.701
H8 H 0.528 0.409 0.299
H9 H 0.621 0.640 0.024
H10 H 0.636 0.351 0.648
H11 H 0.662 0.282 0.959
H12 H 0.743 0.515 0.690
H13 H 0.747 0.840 0.168
H14 H 0.812 0.678 0.326
C1 C 0.474 0.589 0.061
C2 C 0.526 0.411 0.939
N1 N 0.402 0.527 0.269
N2 N 0.598 0.473 0.731
O1 O 0.144 0.127 0.065
O2 O 0.315 0.211 0.694
O3 O 0.685 0.789 0.306
O4 O 0.856 0.873 0.935
F1 F 0.003 0.444 0.322
F2 F 0.059 0.869 0.384
F3 F 0.275 0.771 0.635
F4 F 0.340 0.121 0.326
F5 F 0.660 0.879 0.674
F6 F 0.725 0.229 0.365
F7 F 0.941 0.131 0.616
F8 F 0.997 0.556 0.678
```